[1]
! ZrNiIr3 (GGA-PBE, optimized geometry); values from VASP
! E above lowest polymorph (eV/atom): 0.0000
! Energy of formation (eV/atom): 0.72
&SYSTEM
  ibrav = 0, nat = 5, ntyp = 3
/
ATOMIC_SPECIES
Ir 192.22 Ir.upf
Zr 91.22 Zr.upf
Ni 58.69 Ni.upf
CELL_PARAMETERS angstrom
4.462 0.000 0.000
0.000 4.462 0.000
0.000 0.000 4.462
ATOMIC_POSITIONS angstrom
Ir 0.000 2.231 0.000
Zr 2.231 2.231 2.231
Ir 0.000 0.000 2.231
Ir 2.231 0.000 0.000
Ni 0.000 0.000 0.000

***

[2]
! Zr3NiIr2 (GGA-PBE, optimized geometry); values from VASP
! Energy of formation (eV/atom): -0.66
&SYSTEM
  ibrav = 0, nat = 24, ntyp = 3
/
ATOMIC_SPECIES
Zr 91.22 Zr.upf
Ni 58.69 Ni.upf
Ir 192.22 Ir.upf
CELL_PARAMETERS angstrom
4.381 0.000 0.000
0.000 9.379 0.000
0.000 0.000 10.763
ATOMIC_POSITIONS angstrom
Zr 3.286 5.384 6.575
Ni 3.286 8.312 9.329
Ni 3.286 5.757 3.948
Zr 1.095 6.554 2.450
Ir 1.095 6.544 5.315
Ir 1.095 4.905 8.875
Zr 3.286 8.685 1.193
Zr 3.286 1.864 2.932
Ni 1.095 3.623 6.816
Ir 3.286 1.854 0.066
Ir 1.095 9.164 3.494
Ir 1.095 7.525 10.697
Zr 1.095 3.580 0.550
Zr 3.286 5.799 10.213
Zr 1.095 3.995 4.189
Ir 3.286 0.215 7.270
Ir 3.286 4.474 1.888
Zr 3.286 8.270 4.832
Zr 3.286 2.826 8.314
Zr 1.095 1.110 5.932
Zr 1.095 7.515 7.831
Zr 1.095 0.694 9.570
Ir 3.286 2.835 5.448
Ni 1.095 1.067 1.434

***

[3]
! ZrNiIr2 (GGA-PBE, optimized geometry); values from VASP
! Energy of formation (eV/atom): -0.20
&SYSTEM
  ibrav = 0, nat = 4, ntyp = 3
/
ATOMIC_SPECIES
Ni 58.69 Ni.upf
Ir 192.22 Ir.upf
Zr 91.22 Zr.upf
CELL_PARAMETERS angstrom
-1.607 1.069 4.379
-0.947 -4.978 -1.681
2.002 -1.536 1.241
ATOMIC_POSITIONS angstrom
Ni 0.528 -3.257 -0.220
Ir 0.198 -0.234 2.810
Ir 0.000 0.000 0.000
Zr -1.277 -1.955 1.349

***

[4]
! Zr3NiIr3 (GGA-PBE, optimized geometry); values from VASP
! Energy of formation (eV/atom): -0.45
&SYSTEM
  ibrav = 0, nat = 14, ntyp = 3
/
ATOMIC_SPECIES
Zr 91.22 Zr.upf
Ni 58.69 Ni.upf
Ir 192.22 Ir.upf
CELL_PARAMETERS angstrom
-0.666 -3.555 -4.935
6.076 -0.428 -0.581
-0.012 -5.581 4.027
ATOMIC_POSITIONS angstrom
Zr 5.726 -6.410 -0.020
Ni 1.507 -6.687 2.469
Ir 1.104 -5.522 -1.775
Zr -0.328 -3.154 -1.469
Ir 1.077 -2.747 -3.810
Zr 3.029 -1.597 0.699
Ir 1.395 -3.828 0.589
Ni 3.891 -2.877 -3.959
Zr -0.006 -4.212 3.034
Zr 2.369 -7.967 -2.188
Zr 5.404 -5.353 -4.524
Ir 4.294 -4.042 0.285
Ir 4.003 -5.736 -2.079
Ir 4.333 -1.236 -1.707

***

[5]
! ZrNiIr4 (GGA-PBE, optimized geometry); values from VASP
! Energy of formation (eV/atom): -0.14
&SYSTEM
  ibrav = 0, nat = 6, ntyp = 3
/
ATOMIC_SPECIES
Ir 192.22 Ir.upf
Zr 91.22 Zr.upf
Ni 58.69 Ni.upf
CELL_PARAMETERS angstrom
0.000 3.656 3.656
3.656 0.000 3.656
3.656 3.656 0.000
ATOMIC_POSITIONS angstrom
Ir 4.567 2.745 4.567
Ir 2.745 2.745 2.745
Zr 0.000 0.000 0.000
Ir 4.567 4.567 2.745
Ni 5.485 5.485 5.485
Ir 2.745 4.567 4.567

***

[6]
! ZrNi3Ir (GGA-PBE, optimized geometry); values from VASP
! E above lowest polymorph (eV/atom): 0.6609
! Energy of formation (eV/atom): 1.47
&SYSTEM
  ibrav = 0, nat = 5, ntyp = 3
/
ATOMIC_SPECIES
Ni 58.69 Ni.upf
Zr 91.22 Zr.upf
Ir 192.22 Ir.upf
CELL_PARAMETERS angstrom
4.421 0.000 0.000
0.000 4.421 0.000
0.000 0.000 4.421
ATOMIC_POSITIONS angstrom
Ni 0.000 0.000 2.211
Ni 2.211 0.000 0.000
Ni 0.000 2.211 0.000
Zr 0.000 0.000 0.000
Ir 2.211 2.211 2.211